No. 1
This record from Alexandria via LeMat-Bulk describes a crystal of AlPtN2O relaxed with PBEsol. The functional is meta-GGA SCAN.

Calculated values
For the density of states at the Fermi level, the calculation gives 3.102 states/eV per cell. The uncorrected formation energy is 480.1 meV/atom. As for the space-group type: P4/mmm, No. 123. The total energy comes out at -100.36 eV/cell.

Lattice parameters (Å, degrees): 3.766 3.766 3.527 90.00 90.00 90.00
Positions (direct):
Al: 0.000 0.000 0.000
Pt: 0.500 0.500 0.500
N: 0.000 0.500 0.000
N: 0.500 0.000 0.000
O: 0.000 0.000 0.500

No. 2
This record from Alexandria via LeMat-Bulk describes a crystal of Sm2AlNO3 relaxed with PBEsol. The functional is meta-GGA SCAN.

Calculated values
For the density of states at the Fermi level, the calculation gives 0.000 states/eV per cell. The uncorrected formation energy is -3134.5 meV/atom. As for the space-group type: I4mm, No. 107. The total energy comes out at -146.56 eV/cell.

Lattice parameters (Å, degrees): 6.665 6.665 6.665 148.14 148.14 45.68
Positions (direct):
Sm: 0.000 0.000 0.000
Sm: 0.289 0.289 0.000
Al: 0.650 0.650 0.000
N: 0.812 0.812 0.000
O: 0.137 0.637 0.500
O: 0.476 0.476 0.000
O: 0.637 0.137 0.500

No. 3
This record from Alexandria via LeMat-Bulk describes a crystal of AlSnN2O relaxed with PBEsol. The functional is meta-GGA SCAN.

Calculated values
For the density of states at the Fermi level, the calculation gives 3.343 states/eV per cell. The uncorrected formation energy is -111.7 meV/atom. As for the space-group type: P4/mmm, No. 123. The total energy comes out at -69.05 eV/cell.

Lattice parameters (Å, degrees): 3.846 3.846 3.613 90.00 90.00 90.00
Positions (direct):
Al: 0.000 0.000 0.000
Sn: 0.500 0.500 0.500
N: 0.000 0.500 0.000
N: 0.500 0.000 0.000
O: 0.000 0.000 0.500

No. 4
This record from Alexandria via LeMat-Bulk describes a crystal of SrAlNO2 relaxed with PBEsol. The functional is meta-GGA SCAN.

Calculated values
For the density of states at the Fermi level, the calculation gives 2.394 states/eV per cell. The uncorrected formation energy is 450.4 meV/atom. As for the space-group type: P4/mmm, No. 123. The total energy comes out at -49.53 eV/cell.

Lattice parameters (Å, degrees): 4.550 4.550 4.839 90.00 90.00 90.00
Positions (direct):
Sr: 0.000 0.000 0.000
Al: 0.500 0.500 0.500
N: 0.000 0.000 0.500
O: 0.000 0.500 0.000
O: 0.500 0.000 0.000

No. 5
This record from Alexandria via LeMat-Bulk describes a crystal of AlWN2O relaxed with PBEsol. The functional is meta-GGA SCAN.

Calculated values
For the density of states at the Fermi level, the calculation gives 1.533 states/eV per cell. The uncorrected formation energy is 81.2 meV/atom. As for the space-group type: P4/mmm, No. 123. The total energy comes out at -101.85 eV/cell.

Lattice parameters (Å, degrees): 3.703 3.703 3.401 90.00 90.00 90.00
Positions (direct):
Al: 0.000 0.000 0.000
W: 0.500 0.500 0.500
N: 0.000 0.500 0.000
N: 0.500 0.000 0.000
O: 0.000 0.000 0.500

No. 6
This record from Alexandria via LeMat-Bulk describes a crystal of AlOsSN2 relaxed with PBEsol. The functional is meta-GGA SCAN.

Calculated values
For the density of states at the Fermi level, the calculation gives 1.846 states/eV per cell. The uncorrected formation energy is 541.4 meV/atom. As for the space-group type: P4/mmm, No. 123. The total energy comes out at -105.14 eV/cell.

Lattice parameters (Å, degrees): 3.754 3.754 5.096 90.00 90.00 90.00
Positions (direct):
Al: 0.000 0.000 0.000
Os: 0.500 0.500 0.500
S: 0.500 0.500 0.000
N: 0.000 0.500 0.500
N: 0.500 0.000 0.500

No. 7
This record from Alexandria via LeMat-Bulk describes a crystal of AlPbN2 relaxed with PBEsol. The functional is meta-GGA SCAN.

Calculated values
For the density of states at the Fermi level, the calculation gives 1.374 states/eV per cell. The uncorrected formation energy is 520.2 meV/atom. As for the space-group type: R-3m, No. 166. The total energy comes out at -100.03 eV/cell.

Lattice parameters (Å, degrees): 6.280 6.280 6.280 32.27 32.27 32.27
Positions (direct):
Al: 0.000 0.000 0.000
Pb: 0.500 0.500 0.500
N: 0.100 0.100 0.100
N: 0.900 0.900 0.900

No. 8
This record from Alexandria via LeMat-Bulk describes a crystal of AlPbS2N relaxed with PBEsol. The functional is meta-GGA SCAN.

Calculated values
For the density of states at the Fermi level, the calculation gives 1.802 states/eV per cell. The uncorrected formation energy is -209.9 meV/atom. As for the space-group type: P4/mmm, No. 123. The total energy comes out at -113.13 eV/cell.

Lattice parameters (Å, degrees): 4.848 4.848 3.731 90.00 90.00 90.00
Positions (direct):
Al: 0.000 0.000 0.000
Pb: 0.500 0.500 0.500
S: 0.000 0.500 0.000
S: 0.500 0.000 0.000
N: 0.000 0.000 0.500